VASP calculation (GGA-PBE) on crystalline AlTeP2 at its relaxed geometry.

a = 3.7405 Å, b = 5.8837 Å, c = 3.7349 Å
α = 90.00°, β = 90.00°, γ = 90.00°
Last column: nearest neighbours and their distance in Å.
Fractional coordinates of all 4 atoms:
P 0.0000 0.0000 0.0000  4 Te 2.64
P 0.5000 0.5000 0.0000  4 Al 2.64
Te 0.5000 0.0000 0.5000  4 P 2.64
Al 0.0000 0.5000 0.5000  4 P 2.64

Summary:
The density is 4.4 g/cm³. Its relative energy among the computed polymorphs is 0.4773 eV per atom. Its crystal system is orthorhombic. Its space-group type is No. 47.